Compound: ReWOF2
Source: Alexandria via LeMat-Bulk
Functional: PBE with a Hubbard U
Structure: optimized geometry

Results
- Fermi-level density of states: 3.76 states/eV/cell
- Energy relative to the lowest polymorph listed for this composition: 3.43 kcal/mol of atoms
- Calculated density: 9.54 g/cm3
- SG: P4/mmm
- Crystal system: tetragonal

a = 4.4188 Å, b = 4.4188 Å, c = 3.7802 Å
α = 90.00°, β = 90.00°, γ = 90.00°
Atoms (fractional coordinates):
Re1 0.0000 0.0000 0.0000
O1 0.0000 0.0000 0.5000
W1 0.5000 0.5000 0.5000
F1 0.0000 0.5000 0.0000
F2 0.5000 0.0000 0.0000